# 1
Material: MnIr2PdBr
Method: DFT, PBE-GGA
State: optimized geometry

abc: 4.864 4.864 4.869
angles: 90.00 90.00 90.00
Space group P4/mmm (No. 123)
Unique sites:
1 Mn 0.000 0.000 0.000 (multiplicity 1)
2 Ir 0.000 0.500 0.500 (multiplicity 2)
3 Pd 0.500 0.500 0.500 (multiplicity 1)
4 Br 0.500 0.500 0.000 (multiplicity 1)

Output
Uncorrected formation energy, eV/f.u.: 8.5
Polymorph energy (0 for the lowest one), eV/atom: 0.276
Magnetization, Bohr magnetons per cell: 7.41
V, A^3/atom: 23.0
VASP energy, eV/atom: -5.054
D(E_F), states/eV/f.u.: 5.5

=====

# 2
Material: MnIr2PdBr
Method: DFT, PBE-GGA
State: optimized geometry

abc: 4.630 4.630 4.651
angles: 90.00 90.00 90.00
Space group P4/mmm (No. 123)
Unique sites:
1 Mn 0.000 0.000 0.000 (multiplicity 1)
2 Ir 0.000 0.500 0.500 (multiplicity 2)
3 Pd 0.500 0.500 0.000 (multiplicity 1)
4 Br 0.500 0.500 0.500 (multiplicity 1)

Output
Uncorrected formation energy, eV/f.u.: 7.1
Polymorph energy (0 for the lowest one), eV/atom: 0.000
Magnetization, Bohr magnetons per cell: 4.96
V, A^3/atom: 19.9
VASP energy, eV/atom: -5.331
D(E_F), states/eV/f.u.: 4.5

=====

# 3
Material: MnIrSeBr2
Method: DFT, PBE-GGA
State: optimized geometry

abc: 5.152 5.152 4.844
angles: 90.00 90.00 90.00
Space group P4/mmm (No. 123)
Unique sites:
1 Mn 0.000 0.000 0.000 (multiplicity 1)
2 Ir 0.500 0.500 0.500 (multiplicity 1)
3 Se 0.500 0.500 0.000 (multiplicity 1)
4 Br 0.000 0.500 0.500 (multiplicity 2)

Output
Uncorrected formation energy, eV/f.u.: 2.5
Polymorph energy (0 for the lowest one), eV/atom: 0.000
Magnetization, Bohr magnetons per cell: 4.96
V, A^3/atom: 25.7
VASP energy, eV/atom: -4.478
D(E_F), states/eV/f.u.: 2.8

=====

# 4
Material: TaMn2IrBr
Method: DFT, PBE-GGA
State: optimized geometry

abc: 4.811 4.811 4.825
angles: 90.00 90.00 90.00
Space group P4/mmm (No. 123)
Unique sites:
1 Ta 0.000 0.000 0.000 (multiplicity 1)
2 Mn 0.000 0.500 0.500 (multiplicity 2)
3 Ir 0.500 0.500 0.500 (multiplicity 1)
4 Br 0.500 0.500 0.000 (multiplicity 1)

Output
Uncorrected formation energy, eV/f.u.: 7.4
Magnetization, Bohr magnetons per cell: 5.53
V, A^3/atom: 22.3
VASP energy, eV/atom: -6.657
D(E_F), states/eV/f.u.: 3.7